No. 1
# AsP2RuN

A relaxed AsP2RuN crystal (PBE-GGA, Alexandria).

abc: 4.745 4.745 4.656
angles: 90.00 90.00 90.00
Fractional positions:
As (0.000, 0.000, 0.000)
P (0.000, 0.500, 0.000)
P (0.500, 0.000, 0.000)
Ru (0.000, 0.000, 0.500)
N (0.500, 0.500, 0.500)

Computed properties:
The calculation puts the uncorrected formation energy at 2207.5 meV per atom. The value obtained for the magnetization is 0.65 μB per atom. Its density of states at the Fermi level is 5.2 states/eV per cell.



No. 2
# AsPSN2

A relaxed AsPSN2 crystal (PBE-GGA, Alexandria).

abc: 3.540 3.540 4.632
angles: 90.00 90.00 90.00
Fractional positions:
As (0.000, 0.000, 0.000)
P (0.500, 0.500, 0.500)
S (0.500, 0.500, 0.000)
N (0.000, 0.500, 0.500)
N (0.500, 0.000, 0.500)

Computed properties:
The calculation puts the uncorrected formation energy at 964.0 meV per atom. For the offset from the most stable computed form, the calculation gives 0 meV per atom. The value obtained for the magnetization is 0.07 μB per atom. Its density of states at the Fermi level is 2.7 states/eV per cell.